1.
! TaRhS2Cl PBE optimized geometry; values from VASP
! crystal system = tetragonal
! theoretical density = 5.8 g/cm3
! formation energy from raw total energies = 0.193 eV/atom
! calculated volume = 21.83 Å³/atom
&SYSTEM
  ibrav = 0, nat = 5, ntyp = 4
/
ATOMIC_SPECIES
Ta 180.95 Ta.upf
Rh 102.91 Rh.upf
S 32.06 S.upf
Cl 35.45 Cl.upf
CELL_PARAMETERS angstrom
4.790 0.000 0.000
0.000 4.790 0.000
0.000 0.000 4.758
ATOMIC_POSITIONS crystal
Ta 0.000 0.000 0.000
Rh 0.500 0.500 0.500
S 0.000 0.500 0.000
S 0.500 0.000 0.000
Cl 0.000 0.000 0.500

2.
! Ba3In3Sn8 PBE optimized geometry; values from VASP
! crystal system = orthorhombic
! calculated formation energy = -354 meV/atom
! theoretical density = 6.3 g/cm3
! calculated volume = 32.19 Å³/atom
&SYSTEM
  ibrav = 0, nat = 14, ntyp = 3
/
ATOMIC_SPECIES
Ba 137.33 Ba.upf
In 114.82 In.upf
Sn 118.71 Sn.upf
CELL_PARAMETERS angstrom
-2.659 5.963 7.106
2.659 -5.963 7.106
2.659 5.963 -7.106
ATOMIC_POSITIONS crystal
Ba 0.000 0.000 0.000
Ba 0.304 0.304 0.000
Ba 0.696 0.696 0.000
In 0.318 0.500 0.818
In 0.500 0.000 0.500
In 0.682 0.500 0.182
Sn 0.018 0.652 0.366
Sn 0.126 0.853 0.273
Sn 0.286 0.652 0.634
Sn 0.419 0.147 0.273
Sn 0.581 0.853 0.727
Sn 0.714 0.348 0.366
Sn 0.874 0.147 0.727
Sn 0.982 0.348 0.634

3.
! Tl3AsS6 PBE optimized geometry; values from VASP
! crystal system = monoclinic
! theoretical density = 6.2 g/cm3
! formation energy from raw total energies = 0.057 eV/atom
! calculated volume = 23.65 Å³/atom
&SYSTEM
  ibrav = 0, nat = 20, ntyp = 3
/
ATOMIC_SPECIES
Tl 204.38 Tl.upf
As 74.92 As.upf
S 32.06 S.upf
CELL_PARAMETERS angstrom
6.855 0.000 0.000
0.000 6.730 0.000
-6.835 0.000 10.254
ATOMIC_POSITIONS crystal
Tl 0.000 0.000 0.000
Tl 0.000 0.500 0.500
Tl 0.232 0.035 0.735
Tl 0.232 0.465 0.235
Tl 0.768 0.535 0.765
Tl 0.768 0.965 0.265
As 0.500 0.000 0.500
As 0.500 0.500 0.000
S 0.131 0.165 0.453
S 0.131 0.335 0.953
S 0.243 0.693 0.410
S 0.243 0.807 0.910
S 0.386 0.099 0.266
S 0.386 0.401 0.766
S 0.614 0.599 0.234
S 0.614 0.901 0.734
S 0.757 0.193 0.090
S 0.757 0.307 0.590
S 0.869 0.665 0.047
S 0.869 0.835 0.547

4.
! CdInSb2 PBE optimized geometry; values from VASP
! crystal system = trigonal
! theoretical density = 7.4 g/cm3
! formation energy from raw total energies = 0.134 eV/atom
! calculated volume = 26.56 Å³/atom
&SYSTEM
  ibrav = 0, nat = 4, ntyp = 3
/
ATOMIC_SPECIES
Cd 112.41 Cd.upf
In 114.82 In.upf
Sb 121.76 Sb.upf
CELL_PARAMETERS angstrom
1.719 0.993 10.375
-1.719 0.993 10.375
0.000 -1.985 10.375
ATOMIC_POSITIONS crystal
Cd 0.000 0.000 0.000
In 0.745 0.745 0.745
Sb 0.257 0.257 0.257
Sb 0.492 0.492 0.492

5.
! AgHg3 PBE optimized geometry; values from VASP
! crystal system = orthorhombic
! calculated formation energy = 91 meV/atom
! theoretical density = 12.1 g/cm3
! calculated volume = 24.35 Å³/atom
&SYSTEM
  ibrav = 0, nat = 4, ntyp = 2
/
ATOMIC_SPECIES
Ag 107.87 Ag.upf
Hg 200.59 Hg.upf
CELL_PARAMETERS angstrom
3.103 0.000 0.000
0.000 3.422 0.000
0.000 0.000 9.171
ATOMIC_POSITIONS crystal
Ag 0.000 0.000 0.000
Hg 0.000 0.500 0.255
Hg 0.500 0.000 0.515
Hg 0.500 0.500 0.794

6.
! Rb2In3Hg5 PBE optimized geometry; values from VASP
! crystal system = orthorhombic
! calculated formation energy = -149 meV/atom
! theoretical density = 7.7 g/cm3
! calculated volume = 32.58 Å³/atom
&SYSTEM
  ibrav = 0, nat = 20, ntyp = 3
/
ATOMIC_SPECIES
Rb 85.47 Rb.upf
In 114.82 In.upf
Hg 200.59 Hg.upf
CELL_PARAMETERS angstrom
-5.865 7.517 3.695
5.865 -7.517 3.695
5.865 7.517 -3.695
ATOMIC_POSITIONS crystal
Rb 0.134 0.235 0.369
Rb 0.366 0.735 0.101
Rb 0.634 0.265 0.899
Rb 0.866 0.765 0.631
In 0.138 0.905 0.044
In 0.250 0.750 0.500
In 0.362 0.405 0.767
In 0.638 0.595 0.233
In 0.750 0.250 0.500
In 0.862 0.095 0.956
Hg 0.032 0.750 0.282
Hg 0.101 0.659 0.760
Hg 0.250 0.250 0.000
Hg 0.399 0.159 0.558
Hg 0.468 0.750 0.718
Hg 0.532 0.250 0.282
Hg 0.601 0.841 0.442
Hg 0.750 0.750 0.000
Hg 0.899 0.341 0.240
Hg 0.968 0.250 0.718

7.
! LiPrCu17 PBE optimized geometry; values from VASP
! crystal system = trigonal
! calculated formation energy = -23 meV/atom
! theoretical density = 7.8 g/cm3
! calculated volume = 13.82 Å³/atom
&SYSTEM
  ibrav = 0, nat = 19, ntyp = 3
/
ATOMIC_SPECIES
Li 6.94 Li.upf
Pr 140.91 Pr.upf
Cu 63.55 Cu.upf
CELL_PARAMETERS angstrom
4.262 2.460 4.173
-4.262 2.460 4.173
0.000 -4.921 4.173
ATOMIC_POSITIONS crystal
Li 0.000 0.000 0.000
Pr 0.684 0.684 0.684
Cu 0.045 0.336 0.641
Cu 0.045 0.641 0.336
Cu 0.183 0.688 0.688
Cu 0.239 0.239 0.239
Cu 0.336 0.045 0.641
Cu 0.336 0.641 0.045
Cu 0.343 0.343 0.840
Cu 0.343 0.840 0.343
Cu 0.434 0.434 0.434
Cu 0.486 0.999 0.999
Cu 0.641 0.045 0.336
Cu 0.641 0.336 0.045
Cu 0.688 0.183 0.688
Cu 0.688 0.688 0.183
Cu 0.840 0.343 0.343
Cu 0.999 0.486 0.999
Cu 0.999 0.999 0.486

8.
! Tl3ClF2 PBE optimized geometry; values from VASP
! crystal system = orthorhombic
! theoretical density = 6.8 g/cm3
! formation energy from raw total energies = -1.465 eV/atom
! calculated volume = 27.88 Å³/atom
&SYSTEM
  ibrav = 0, nat = 12, ntyp = 3
/
ATOMIC_SPECIES
Tl 204.38 Tl.upf
Cl 35.45 Cl.upf
F 19.00 F.upf
CELL_PARAMETERS angstrom
5.641 -4.291 0.000
5.641 4.291 0.000
0.000 0.000 6.911
ATOMIC_POSITIONS crystal
Tl 0.000 0.000 0.250
Tl 0.000 0.000 0.750
Tl 0.197 0.453 0.750
Tl 0.453 0.197 0.250
Tl 0.547 0.803 0.750
Tl 0.803 0.547 0.250
Cl 0.343 0.657 0.250
Cl 0.657 0.343 0.750
F 0.194 0.194 0.000
F 0.194 0.194 0.500
F 0.806 0.806 0.000
F 0.806 0.806 0.500

9.
! LiNi2As PBE optimized geometry; values from VASP
! crystal system = orthorhombic
! calculated formation energy = 77 meV/atom
! theoretical density = 5.9 g/cm3
! calculated volume = 14.09 Å³/atom
&SYSTEM
  ibrav = 0, nat = 4, ntyp = 3
/
ATOMIC_SPECIES
Li 6.94 Li.upf
Ni 58.69 Ni.upf
As 74.92 As.upf
CELL_PARAMETERS angstrom
-1.312 2.112 5.084
1.312 -2.112 5.084
1.312 2.112 -5.084
ATOMIC_POSITIONS crystal
Li 0.000 0.000 0.000
Ni 0.274 0.274 0.000
Ni 0.726 0.726 0.000
As 0.500 0.500 0.000

10.
! V2InTc2 PBE optimized geometry; values from VASP
! crystal system = tetragonal
! calculated formation energy = 179 meV/atom
! theoretical density = 8.7 g/cm3
! calculated volume = 15.76 Å³/atom
&SYSTEM
  ibrav = 0, nat = 10, ntyp = 3
/
ATOMIC_SPECIES
V 50.94 V.upf
In 114.82 In.upf
Tc 98.00 Tc.upf
CELL_PARAMETERS angstrom
7.359 0.000 0.000
0.000 7.359 0.000
0.000 0.000 2.910
ATOMIC_POSITIONS crystal
V 0.136 0.364 0.000
V 0.364 0.864 0.000
V 0.636 0.136 0.000
V 0.864 0.636 0.000
In 0.000 0.000 0.000
In 0.500 0.500 0.000
Tc 0.159 0.659 0.500
Tc 0.341 0.159 0.500
Tc 0.659 0.841 0.500
Tc 0.841 0.341 0.500

11.
! EuThCo2 PBE optimized geometry; values from VASP
! crystal system = tetragonal
! calculated formation energy = -10 meV/atom
! theoretical density = 9.9 g/cm3
! calculated volume = 20.96 Å³/atom
&SYSTEM
  ibrav = 0, nat = 4, ntyp = 3
/
ATOMIC_SPECIES
Eu 151.96 Eu.upf
Th 232.04 Th.upf
Co 58.93 Co.upf
CELL_PARAMETERS angstrom
3.458 0.000 0.000
0.000 3.458 0.000
0.000 0.000 7.010
ATOMIC_POSITIONS crystal
Eu 0.000 0.000 0.000
Th 0.000 0.000 0.500
Co 0.500 0.500 0.298
Co 0.500 0.500 0.702

12.
! Cs2MgHCl6 PBE optimized geometry; values from VASP
! crystal system = tetragonal
! theoretical density = 3.0 g/cm3
! E = -2.9349 eV per atom
! calculated volume = 28.22 Å³/atom
&SYSTEM
  ibrav = 0, nat = 10, ntyp = 4
/
ATOMIC_SPECIES
Cs 132.91 Cs.upf
Mg 24.30 Mg.upf
H 1.01 H.upf
Cl 35.45 Cl.upf
CELL_PARAMETERS angstrom
-3.375 3.375 6.194
3.375 -3.375 6.194
3.375 3.375 -6.194
ATOMIC_POSITIONS crystal
Cs 0.250 0.750 0.500
Cs 0.750 0.250 0.500
Mg 0.000 0.000 0.000
H 0.500 0.500 0.000
Cl 0.193 0.193 0.000
Cl 0.279 0.279 0.559
Cl 0.279 0.721 0.000
Cl 0.721 0.279 0.000
Cl 0.721 0.721 0.441
Cl 0.807 0.807 0.000

Copy entry 6 word for word.
! Rb2In3Hg5 PBE optimized geometry; values from VASP
! crystal system = orthorhombic
! calculated formation energy = -149 meV/atom
! theoretical density = 7.7 g/cm3
! calculated volume = 32.58 Å³/atom
&SYSTEM
  ibrav = 0, nat = 20, ntyp = 3
/
ATOMIC_SPECIES
Rb 85.47 Rb.upf
In 114.82 In.upf
Hg 200.59 Hg.upf
CELL_PARAMETERS angstrom
-5.865 7.517 3.695
5.865 -7.517 3.695
5.865 7.517 -3.695
ATOMIC_POSITIONS crystal
Rb 0.134 0.235 0.369
Rb 0.366 0.735 0.101
Rb 0.634 0.265 0.899
Rb 0.866 0.765 0.631
In 0.138 0.905 0.044
In 0.250 0.750 0.500
In 0.362 0.405 0.767
In 0.638 0.595 0.233
In 0.750 0.250 0.500
In 0.862 0.095 0.956
Hg 0.032 0.750 0.282
Hg 0.101 0.659 0.760
Hg 0.250 0.250 0.000
Hg 0.399 0.159 0.558
Hg 0.468 0.750 0.718
Hg 0.532 0.250 0.282
Hg 0.601 0.841 0.442
Hg 0.750 0.750 0.000
Hg 0.899 0.341 0.240
Hg 0.968 0.250 0.718

> The lowest calculated volume belongs to which entry?

LiPrCu17